# 1
DFT (GGA-PBE) results for HfBiAs2Se after structural relaxation.

Lattice parameters (Å, degrees): 5.2599 5.2599 5.3215 90.00 90.00 90.00
Element x y z (fractional)
Hf  0.0000  0.0000  0.0000
Bi  0.5000  0.5000  0.5000
As  0.0000  0.5000  0.5000
As  0.5000  0.0000  0.5000
Se  0.5000  0.5000  0.0000

Properties
M_tot: 0.00 μB per formula unit
ΔE_f (raw): 23.96 kcal/mol of atoms
E above lowest polymorph: 1.021 eV/atom
DFT total energy: -4.28 eV/atom


# 2
DFT (GGA-PBE) results for HfBiAs2Se after structural relaxation.

Lattice parameters (Å, degrees): 5.2294 5.2294 5.0445 90.00 90.00 90.00
Element x y z (fractional)
Hf  0.0000  0.0000  0.0000
Bi  0.5000  0.5000  0.5000
As  0.0000  0.5000  0.0000
As  0.5000  0.0000  0.0000
Se  0.0000  0.0000  0.5000

Properties
M_tot: 0.00 μB per formula unit
ΔE_f (raw): 0.42 kcal/mol of atoms
E above lowest polymorph: 0.000 eV/atom
DFT total energy: -5.31 eV/atom


Among the records above, which one has the lowest E above lowest polymorph?
number 2